Record 1
The following is a DFT calculation (PBE-GGA) of a geometry-optimized CdGaB structure.

a = 3.438 Å, b = 5.344 Å, c = 6.302 Å
α = 87.50°, β = 74.18°, γ = 71.35°
Fractional positions:
Cd 0.000 0.000 0.000
Cd 0.227 0.450 0.104
Ga 0.851 0.869 0.426
Ga 0.979 0.404 0.637
B 0.197 0.995 0.611
B 0.333 0.681 0.650

Space group   P1 (1)
D(E_F)   0.235 states/eV per atom
Formation energy   326 meV per atom
Energy   -3.21 eV/atom
Magnetic moment   0.000 μB per cell

=====

Record 2
The following is a DFT calculation (PBE-GGA) of a geometry-optimized Cs6SOF2 structure.

a = 8.251 Å, b = 8.251 Å, c = 8.251 Å
α = 56.47°, β = 56.47°, γ = 56.47°
Fractional positions:
Cs 0.014 0.332 0.654
Cs 0.134 0.763 0.582
Cs 0.332 0.654 0.014
Cs 0.582 0.134 0.763
Cs 0.654 0.014 0.332
Cs 0.763 0.582 0.134
S 0.206 0.206 0.206
O 0.730 0.730 0.730
F 0.417 0.417 0.417
F 0.931 0.931 0.931

Space group   R3 (146)
ΔE_f (raw)   -1.615 eV/atom
Energy   -3.41 eV/atom
Magnetic moment   0.155 μB per cell